Record 1
DFT (PBE) results for InSnOsO6 after structural relaxation.

POSCAR file:
```
InSnOsO6
1.0
5.327 0.000 0.000
-2.664 4.613 0.000
0.000 0.000 8.949
In Sn Os O
2 2 2 12
direct
0.333 0.667 0.250
0.667 0.333 0.750
0.000 0.000 0.000
0.000 0.000 0.500
0.333 0.667 0.750
0.667 0.333 0.250
0.027 0.352 0.627
0.027 0.675 0.873
0.325 0.352 0.873
0.325 0.973 0.627
0.352 0.027 0.127
0.352 0.325 0.373
0.648 0.675 0.627
0.648 0.973 0.873
0.675 0.027 0.373
0.675 0.648 0.127
0.973 0.325 0.127
0.973 0.648 0.373
```

Computed properties:
The formation energy without anion corrections comes out at -1.2026 eV/atom. As for the magnetization: 2.8 μB per formula unit. The value obtained for the total energy is -6.5048 eV per atom. Its space group is No. 163.

Record 2
DFT (PBE) results for ErTmTe2 after structural relaxation.

POSCAR file:
```
ErTmTe2
1.0
5.304 0.000 0.000
0.000 5.304 0.000
0.000 0.000 3.749
Er Tm Te
1 1 2
direct
0.000 0.000 0.000
0.500 0.500 0.000
0.000 0.500 0.500
0.500 0.000 0.500
```

Computed properties:
The formation energy without anion corrections comes out at -1.0805 eV/atom. As for the magnetization: 1.1 μB per formula unit. The value obtained for the total energy is -4.9099 eV per atom. Its space group is No. 123. Its energy above the most stable polymorph in this dataset is 145 meV per atom.

Record 3
DFT (PBE) results for HfUBi2N after structural relaxation.

POSCAR file:
```
HfUBi2N
1.0
3.945 0.000 0.000
0.000 3.945 0.000
0.000 0.000 14.597
Hf U Bi N
2 2 4 2
direct
0.250 0.250 0.064
0.750 0.750 0.936
0.250 0.250 0.575
0.750 0.750 0.425
0.250 0.250 0.291
0.250 0.250 0.854
0.750 0.750 0.146
0.750 0.750 0.709
0.250 0.750 0.500
0.750 0.250 0.500
```

Computed properties:
The formation energy without anion corrections comes out at -0.5993 eV/atom. As for the magnetization: 1.3 μB per formula unit. The value obtained for the total energy is -8.0651 eV per atom. Its space group is No. 129.

Record 4
DFT (PBE) results for Cd2PdPt2 after structural relaxation.

POSCAR file:
```
Cd2PdPt2
1.0
4.455 0.000 0.000
-2.227 3.858 0.000
0.000 0.000 10.865
Cd Pd Pt
4 2 4
direct
0.333 0.667 0.105
0.333 0.667 0.395
0.667 0.333 0.605
0.667 0.333 0.895
0.000 0.000 0.250
0.000 0.000 0.750
0.000 0.000 0.000
0.000 0.000 0.500
0.333 0.667 0.750
0.667 0.333 0.250
```

Computed properties:
The energy of formation is -43 kJ/mol of formula units. As for the magnetization: 0.0 μB per formula unit. The value obtained for the total energy is -3.9107 eV per atom. Its space group is No. 194. Its energy above the most stable polymorph in this dataset is 93 meV per atom.

Record 5
DFT (PBE) results for Cs2LaPd after structural relaxation.

POSCAR file:
```
Cs2LaPd
1.0
0.000 4.162 4.162
4.162 0.000 4.162
4.162 4.162 0.000
Cs La Pd
2 1 1
direct
0.250 0.250 0.250
0.750 0.750 0.750
0.000 0.000 0.000
0.500 0.500 0.500
```

Computed properties:
The energy of formation is 298 kJ/mol of formula units. As for the magnetization: 0.8 μB per formula unit. The value obtained for the total energy is -2.1840 eV per atom. Its space group is No. 225.

Record 6
DFT (PBE) results for Ga5Hg12Se3 after structural relaxation.

POSCAR file:
```
Ga5Hg12Se3
1.0
-8.285 8.285 8.285
8.285 -8.285 8.285
8.285 8.285 -8.285
Ga Hg Se
20 48 12
direct
0.000 0.000 0.000
0.000 0.000 0.500
0.000 0.500 0.000
0.000 0.500 0.500
0.125 0.750 0.875
0.125 0.875 0.250
0.250 0.125 0.875
0.250 0.625 0.375
0.375 0.250 0.625
0.375 0.625 0.750
0.500 0.000 0.000
0.500 0.000 0.500
0.500 0.500 0.000
0.500 0.500 0.500
0.625 0.375 0.250
0.625 0.750 0.375
0.750 0.375 0.625
0.750 0.875 0.125
0.875 0.125 0.750
0.875 0.250 0.125
0.049 0.224 0.119
0.049 0.325 0.930
0.070 0.619 0.395
0.070 0.951 0.675
0.105 0.724 0.675
0.105 0.881 0.430
0.119 0.049 0.224
0.119 0.570 0.895
0.175 0.224 0.605
0.175 0.451 0.570
0.224 0.119 0.049
0.224 0.605 0.175
0.276 0.325 0.895
0.276 0.451 0.381
0.325 0.895 0.276
0.325 0.930 0.049
0.381 0.276 0.451
0.381 0.605 0.930
0.395 0.070 0.619
0.395 0.825 0.776
0.430 0.105 0.881
0.430 0.825 0.549
0.451 0.381 0.276
0.451 0.570 0.175
0.549 0.430 0.825
0.549 0.619 0.724
0.570 0.175 0.451
0.570 0.895 0.119
0.605 0.175 0.224
0.605 0.930 0.381
0.619 0.395 0.070
0.619 0.724 0.549
0.675 0.070 0.951
0.675 0.105 0.724
0.724 0.549 0.619
0.724 0.675 0.105
0.776 0.395 0.825
0.776 0.881 0.951
0.825 0.549 0.430
0.825 0.776 0.395
0.881 0.430 0.105
0.881 0.951 0.776
0.895 0.119 0.570
0.895 0.276 0.325
0.930 0.049 0.325
0.930 0.381 0.605
0.951 0.675 0.070
0.951 0.776 0.881
0.125 0.250 0.375
0.125 0.375 0.750
0.250 0.375 0.125
0.250 0.875 0.625
0.375 0.125 0.250
0.375 0.750 0.125
0.625 0.250 0.875
0.625 0.875 0.750
0.750 0.125 0.375
0.750 0.625 0.875
0.875 0.625 0.250
0.875 0.750 0.625
```

Computed properties:
The formation energy without anion corrections comes out at 0.0486 eV/atom. As for the magnetization: 0.0 μB per formula unit. The value obtained for the total energy is -1.4119 eV per atom. Its space group is No. 230.

These records have V values of 12.22, 26.37, 22.71, 18.67, 36.06, 28.44 Å³/atom, in the order they appear.
These records have N(E_F) values of 2.5, 2.1, 6.0, 2.0, 6.5, 8.1 states/eV/f.u., in the order they appear.
These records have density values of 7.85, 9.31, 12.41, 12.83, 5.88, 8.74 Mg/m³, in the order they appear.